Density functional theory data (GGA-PBE) for a relaxed LiCuNiMo crystal.

Unit cell a=5.8591 b=5.8591 c=5.8591 alpha=90.00 beta=90.00 gamma=90.00
Space group F-43m (No. 216)
Unique sites:
Li  0.0000  0.0000  0.0000 (multiplicity 4)
Cu  0.2500  0.2500  0.7500 (multiplicity 4)
Ni  0.2500  0.2500  0.2500 (multiplicity 4)
Mo  0.0000  0.0000  0.5000 (multiplicity 4)

Summary:
* distance to the lowest polymorph of the same formula: 0.013 eV per atom
* final energy: -5.30 eV per atom

***

Density functional theory data (GGA-PBE) for a relaxed KRbCuAs crystal.

Unit cell a=6.3613 b=6.0565 c=6.5125 alpha=90.00 beta=107.25 gamma=90.00
Space group P2_1/m (No. 11)
Unique sites:
K  0.1781  0.2500  0.0087 (multiplicity 2)
Rb  0.4772  0.7500  0.3202 (multiplicity 2)
Cu  0.0000  0.0000  0.5000 (multiplicity 2)
As  0.2256  0.7500  0.7445 (multiplicity 2)

Summary:
* distance to the lowest polymorph of the same formula: 0.000 eV per atom
* final energy: -2.94 eV per atom

***

Density functional theory data (GGA-PBE) for a relaxed RbTmAsO crystal.

Unit cell a=3.4234 b=7.9307 c=8.0167 alpha=90.00 beta=90.00 gamma=90.00
Space group Pmc2_1 (No. 26)
Unique sites:
Rb  0.0000  0.0570  0.0000 (multiplicity 2)
Tm  0.5000  0.3728  0.3574 (multiplicity 2)
As  0.5000  0.3057  0.7064 (multiplicity 2)
O  0.0000  0.2455  0.2882 (multiplicity 2)

Summary:
* distance to the lowest polymorph of the same formula: 0.000 eV per atom
* final energy: -5.35 eV per atom

***

Density functional theory data (GGA-PBE) for a relaxed UHgGe crystal.

Unit cell a=6.8994 b=6.8994 c=6.8994 alpha=90.00 beta=90.00 gamma=90.00
Space group F-43m (No. 216)
Unique sites:
U  0.0000  0.0000  0.0000 (multiplicity 4)
Hg  0.2500  0.2500  0.7500 (multiplicity 4)
Ge  0.2500  0.2500  0.2500 (multiplicity 4)

Summary:
* final energy: -5.00 eV per atom

***

Density functional theory data (GGA-PBE) for a relaxed ErNbAu crystal.

Unit cell a=6.6633 b=6.6633 c=6.6633 alpha=90.00 beta=90.00 gamma=90.00
Space group F-43m (No. 216)
Unique sites:
Er  0.0000  0.0000  0.0000 (multiplicity 4)
Nb  0.2500  0.2500  0.2500 (multiplicity 4)
Au  0.2500  0.2500  0.7500 (multiplicity 4)

Summary:
* distance to the lowest polymorph of the same formula: 0.175 eV per atom
* energy of formation from the pure elements: 753 meV per atom
* final energy: -5.22 eV per atom

***

Density functional theory data (GGA-PBE) for a relaxed Ho8Co crystal.

Unit cell a=8.9861 b=8.9861 c=3.6104 alpha=90.00 beta=90.00 gamma=120.00
Space group P-62m (No. 189)
Unique sites:
Ho  0.0000  0.2340  0.0000 (multiplicity 3)
Ho  0.0000  0.6131  0.5000 (multiplicity 3)
Ho  0.3333  0.6667  0.0000 (multiplicity 2)
Co  0.0000  0.0000  0.5000 (multiplicity 1)

Summary:
* energy of formation from the pure elements: -42 meV per atom
* final energy: -4.90 eV per atom

***

Density functional theory data (GGA-PBE) for a relaxed Sm3Ge4 crystal.

Unit cell a=4.1633 b=10.9105 c=14.5019 alpha=90.00 beta=90.00 gamma=90.00
Space group Cmcm (No. 63)
Unique sites:
Sm  0.0000  0.0441  0.2500 (multiplicity 4)
Sm  0.0000  0.3314  0.0967 (multiplicity 8)
Ge  0.0000  0.0000  0.0000 (multiplicity 4)
Ge  0.0000  0.2299  0.7500 (multiplicity 4)
Ge  0.0000  0.3792  0.6091 (multiplicity 8)

Summary:
* final energy: -5.46 eV per atom

***

Density functional theory data (GGA-PBE) for a relaxed PmHoFe crystal.

Unit cell a=6.6611 b=6.6611 c=6.6611 alpha=90.00 beta=90.00 gamma=90.00
Space group F-43m (No. 216)
Unique sites:
Pm  0.0000  0.0000  0.0000 (multiplicity 4)
Ho  0.0000  0.0000  0.5000 (multiplicity 4)
Fe  0.2500  0.2500  0.7500 (multiplicity 4)

Summary:
* energy of formation from the pure elements: 232 meV per atom
* final energy: -5.64 eV per atom

***

Density functional theory data (GGA-PBE) for a relaxed TlCo3S5 crystal.

Unit cell a=5.3989 b=5.3989 c=6.6759 alpha=90.00 beta=90.00 gamma=120.00
Space group P6/mmm (No. 191)
Unique sites:
Tl  0.0000  0.0000  0.0000 (multiplicity 1)
Co  0.0000  0.5000  0.5000 (multiplicity 3)
S  0.0000  0.0000  0.5000 (multiplicity 1)
S  0.3333  0.6667  0.2666 (multiplicity 4)

Summary:
* final energy: -5.15 eV per atom

***

Density functional theory data (GGA-PBE) for a relaxed NaTlPdPb crystal.

Unit cell a=4.3245 b=8.2729 c=5.9431 alpha=90.00 beta=111.21 gamma=90.00
Space group Pm (No. 6)
Unique sites:
Na  0.0000  0.0000  0.0000 (multiplicity 1)
Na  0.1339  0.5000  0.2647 (multiplicity 1)
Tl  0.4266  0.2968  0.8537 (multiplicity 2)
Pd  0.2824  0.0000  0.5622 (multiplicity 1)
Pd  0.8487  0.5000  0.6970 (multiplicity 1)
Pb  0.7111  0.2032  0.4192 (multiplicity 2)

Summary:
* distance to the lowest polymorph of the same formula: 0.000 eV per atom
* final energy: -3.36 eV per atom

***

Density functional theory data (GGA-PBE) for a relaxed ReSnSe3S crystal.

Unit cell a=6.7262 b=6.9450 c=7.6213 alpha=117.11 beta=106.27 gamma=90.66
Space group P-1 (No. 2)
Unique sites:
Re  0.9996  0.1987  0.9998 (multiplicity 2)
Sn  0.0057  0.7405  0.4810 (multiplicity 2)
Se  0.2183  0.6072  0.2098 (multiplicity 2)
Se  0.2474  0.1390  0.7966 (multiplicity 2)
Se  0.2482  0.6633  0.7974 (multiplicity 2)
S  0.2238  0.1291  0.2524 (multiplicity 2)

Summary:
* distance to the lowest polymorph of the same formula: 0.000 eV per atom
* final energy: -5.45 eV per atom

***

Density functional theory data (GGA-PBE) for a relaxed La2NdBi3 crystal.

Unit cell a=4.6474 b=4.6474 c=11.4179 alpha=90.00 beta=90.00 gamma=120.00
Space group P-3m1 (No. 164)
Unique sites:
La  0.3333  0.6667  0.3317 (multiplicity 2)
Nd  0.0000  0.0000  0.0000 (multiplicity 1)
Bi  0.0000  0.0000  0.5000 (multiplicity 1)
Bi  0.3333  0.6667  0.8361 (multiplicity 2)

Summary:
* final energy: -5.49 eV per atom

***

Density functional theory data (GGA-PBE) for a relaxed Pu2S crystal.

Unit cell a=6.6115 b=6.6115 c=3.8422 alpha=90.00 beta=90.00 gamma=90.00
Space group P4_2/mnm (No. 136)
Unique sites:
Pu  0.2102  0.2102  0.0000 (multiplicity 4)
S  0.0000  0.0000  0.5000 (multiplicity 2)

Summary:
* final energy: -11.67 eV per atom

***

Density functional theory data (GGA-PBE) for a relaxed DyHoSiGeOs crystal.

Unit cell a=10.7793 b=4.2806 c=10.0029 alpha=90.00 beta=118.69 gamma=90.00
Space group C2/m (No. 12)
Unique sites:
Dy  0.0066  0.0000  0.1804 (multiplicity 4)
Ho  0.1821  0.0000  0.6099 (multiplicity 4)
Si  0.0039  0.5000  0.3770 (multiplicity 4)
Ge  0.1434  0.5000  0.0625 (multiplicity 4)
Os  0.2250  0.5000  0.8640 (multiplicity 4)

Summary:
* distance to the lowest polymorph of the same formula: 0.112 eV per atom
* final energy: -6.78 eV per atom

***

Density functional theory data (GGA-PBE) for a relaxed PrAlAsPd2 crystal.

Unit cell a=4.5306 b=4.5306 c=9.6265 alpha=90.00 beta=90.00 gamma=90.00
Space group P4/nmm (No. 129, origin choice 2)
Unique sites:
Pr  0.2500  0.2500  0.2408 (multiplicity 2)
Al  0.2500  0.2500  0.6170 (multiplicity 2)
As  0.2500  0.7500  0.0000 (multiplicity 2)
Pd  0.2500  0.2500  0.8755 (multiplicity 2)
Pd  0.2500  0.7500  0.5000 (multiplicity 2)

Summary:
* distance to the lowest polymorph of the same formula: 0.096 eV per atom
* final energy: -5.56 eV per atom

***

Density functional theory data (GGA-PBE) for a relaxed LaZrBi crystal.

Unit cell a=7.5657 b=7.5657 c=7.5657 alpha=90.00 beta=90.00 gamma=90.00
Space group F-43m (No. 216)
Unique sites:
La  0.0000  0.0000  0.0000 (multiplicity 4)
Zr  0.2500  0.2500  0.2500 (multiplicity 4)
Bi  0.2500  0.2500  0.7500 (multiplicity 4)

Summary:
* final energy: -5.33 eV per atom

***

Density functional theory data (GGA-PBE) for a relaxed CoNiGePd crystal.

Unit cell a=5.9017 b=5.9017 c=5.9017 alpha=90.00 beta=90.00 gamma=90.00
Space group F-43m (No. 216)
Unique sites:
Co  0.0000  0.0000  0.0000 (multiplicity 4)
Ni  0.2500  0.2500  0.2500 (multiplicity 4)
Ge  0.2500  0.2500  0.7500 (multiplicity 4)
Pd  0.0000  0.0000  0.5000 (multiplicity 4)

Summary:
* distance to the lowest polymorph of the same formula: 0.000 eV per atom
* final energy: -5.72 eV per atom

***

Density functional theory data (GGA-PBE) for a relaxed Ho3NiGe5 crystal.

Unit cell a=7.0825 b=7.0825 c=4.0644 alpha=90.00 beta=90.00 gamma=120.00
Space group P-62m (No. 189)
Unique sites:
Ho  0.0000  0.6067  0.0000 (multiplicity 3)
Ni  0.0000  0.0000  0.0000 (multiplicity 1)
Ge  0.0000  0.2318  0.5000 (multiplicity 3)
Ge  0.3333  0.6667  0.5000 (multiplicity 2)

Summary:
* final energy: -5.33 eV per atom

***

Density functional theory data (GGA-PBE) for a relaxed Y3Ho3Lu2Te crystal.

Unit cell a=9.1986 b=9.1986 c=3.7521 alpha=90.00 beta=90.00 gamma=120.00
Space group P-62m (No. 189)
Unique sites:
Y  0.0000  0.2751  0.0000 (multiplicity 3)
Ho  0.0000  0.6149  0.5000 (multiplicity 3)
Lu  0.3333  0.6667  0.0000 (multiplicity 2)
Te  0.0000  0.0000  0.5000 (multiplicity 1)

Summary:
* final energy: -5.33 eV per atom

***

Density functional theory data (GGA-PBE) for a relaxed ScNiAg2 crystal.

Unit cell a=6.4536 b=6.4536 c=6.4536 alpha=90.00 beta=90.00 gamma=90.00
Space group F-43m (No. 216)
Unique sites:
Sc  0.0000  0.0000  0.0000 (multiplicity 4)
Ni  0.2500  0.2500  0.7500 (multiplicity 4)
Ag  0.0000  0.0000  0.5000 (multiplicity 4)
Ag  0.2500  0.2500  0.2500 (multiplicity 4)

Summary:
* energy of formation from the pure elements: -159 meV per atom
* final energy: -4.54 eV per atom